Entry 1:
VASP calculation (GGA-PBE) on an optimized crystal structure of TaAuS3.

It has space group C2/m (No. 12), with a = 15.996 Å, b = 3.705 Å, c = 6.997 Å, α = 90.00°, β = 95.63° and γ = 90.00°. The distinct sites, in fractional coordinates, are Ta at (0.202, 0.000, 0.246), Au at (0.034, 0.500, 0.816), S at (0.061, 0.000, 0.301), S at (0.171, 0.500, 0.990) and S at (0.208, 0.000, 0.622).

The volume comes out at 20.63 Å³ per atom. The crystal system is monoclinic. The calculation puts the formation energy (no corrections) at -484 meV/atom.

=====

Entry 2:
VASP calculation (GGA-PBE) on an optimized crystal structure of TaTe2AuS.

It has space group P4/mmm (No. 123), with a = 5.335 Å, b = 5.335 Å, c = 4.517 Å, α = 90.00°, β = 90.00° and γ = 90.00°. The distinct sites, in fractional coordinates, are Ta at (0.000, 0.000, 0.000), Te at (0.000, 0.500, 0.500), Au at (0.500, 0.500, 0.000) and S at (0.000, 0.000, 0.500).

The volume comes out at 25.72 Å³ per atom. The crystal system is tetragonal. The calculation puts the formation energy (no corrections) at 850 meV/atom.